# 1
Density functional theory data (GGA-PBE) for a relaxed Ta2VFeTe crystal.

POSCAR file:
```
Ta2VFeTe
1.0
4.654 0.000 0.000
0.000 4.405 0.000
0.000 0.000 4.654
Fe Te Ta V
1 1 2 1
direct
0.000 0.000 0.000
0.500 0.500 0.500
0.500 0.000 0.000
0.000 0.000 0.500
0.000 0.500 0.000
```

## Properties
Formation energy (no corrections)   0.66 eV per atom

***

# 2
Density functional theory data (GGA-PBE) for a relaxed Mg5P crystal.

POSCAR file:
```
Mg5P
1.0
-5.497 -0.075 0.140
-4.107 -3.245 1.685
-0.703 2.708 6.189
Mg P
5 1
direct
0.701 0.701 0.729
0.320 0.320 0.365
0.005 0.005 0.541
0.940 0.940 0.988
0.620 0.620 0.211
0.247 0.247 0.999
```

## Properties
Formation energy from the elements   -0.096 eV/atom

***

Number 1: final energy -41.1 eV per cell. Number 2: final energy -14.0 eV per cell.